SbAs2Br, relaxed, DFT PBE-GGA; N(E_F) = 0.44 states/eV/atom; ΔE to the lowest computed polymorph = 167 meV/atom; V = 26.8 Å³ per atom; electronic total energy = -3.643 eV/atom; space group = C2/m (12); ρ = 5.450 g/cm³
1.0
5.9450 -1.7445 0.0000
5.9450 1.7445 0.0000
-1.0213 0.0000 5.1633
Sb As Br
1 2 1
direct
0.0000 0.0000 0.0000
0.2785 0.2785 0.8591
0.7215 0.7215 0.1409
0.5000 0.5000 0.5000



K5AcO4, relaxed, DFT PBE-GGA; V = 23.6 Å³ per atom; electronic total energy = -4.548 eV/atom; space group = C2/m (12); ρ = 3.428 g/cm³
1.0
8.3739 -1.9835 0.0000
8.3739 1.9835 0.0000
-2.4473 0.0000 7.0938
K Ac O
5 1 4
direct
0.0000 0.0000 0.0000
0.3299 0.3299 0.6011
0.3364 0.3364 0.1497
0.6636 0.6636 0.8503
0.6701 0.6701 0.3989
0.0000 0.0000 0.5000
0.1632 0.1632 0.6327
0.4985 0.4985 0.7237
0.5015 0.5015 0.2763
0.8368 0.8368 0.3673



BaSr3Ag, relaxed, DFT PBE-GGA; energy relative to the elements = -0.10 eV/atom; N(E_F) = 0.91 states/eV/atom; ΔE to the lowest computed polymorph = 22 meV/atom; V = 48.5 Å³ per atom; electronic total energy = -2.062 eV/atom; space group = P2_1/m (11); ρ = 3.481 g/cm³
1.0
6.7968 0.0000 0.0000
0.0000 8.4164 0.0000
-1.4676 0.0000 8.4725
Ba Sr Ag
2 6 2
direct
0.0158 0.2500 0.0895
0.9842 0.7500 0.9105
0.0881 0.7500 0.4217
0.4595 0.0107 0.7551
0.4595 0.4893 0.7551
0.5405 0.5107 0.2449
0.5405 0.9893 0.2449
0.9119 0.2500 0.5783
0.3492 0.2500 0.4545
0.6508 0.7500 0.5455